# 1
Computed, not measured: crystalline ScSe6Br12 at its relaxed geometry at the PBE-GGA level of DFT.

Unit cell a=13.4941 b=13.4941 c=13.4941 alpha=34.89 beta=34.89 gamma=34.89
Atoms (fractional coordinates):
Sc1 0.0000 0.0000 0.0000
Se1 0.1140 0.4585 0.1877
Se2 0.1877 0.1140 0.4585
Se3 0.4585 0.1877 0.1140
Se4 0.5415 0.8123 0.8860
Se5 0.8123 0.8860 0.5415
Se6 0.8860 0.5415 0.8123
Br1 0.1123 0.7378 0.2683
Br2 0.1375 0.4853 0.7750
Br3 0.2250 0.8625 0.5147
Br4 0.2622 0.7317 0.8877
Br5 0.2683 0.1123 0.7378
Br6 0.4853 0.7750 0.1375
Br7 0.5147 0.2250 0.8625
Br8 0.7317 0.8877 0.2622
Br9 0.7378 0.2683 0.1123
Br10 0.7750 0.1375 0.4853
Br11 0.8625 0.5147 0.2250
Br12 0.8877 0.2622 0.7317

The total moment is 0.0 μB/cell. As for the formation energy without anion corrections: -0.329 eV/atom.

# 2
Computed, not measured: crystalline PaVBr2 at its relaxed geometry at the PBE-GGA level of DFT.

Unit cell a=9.7240 b=9.7240 c=9.7240 alpha=19.36 beta=19.36 gamma=19.36
Atoms (fractional coordinates):
Pa1 0.0000 0.0000 0.0000
V1 0.5000 0.5000 0.5000
Br1 0.1058 0.1058 0.1058
Br2 0.8942 0.8942 0.8942

The total moment is 1.6 μB/cell. As for the formation energy without anion corrections: -0.060 eV/atom.

# 3
Computed, not measured: crystalline KTlTc2 at its relaxed geometry at the PBE-GGA level of DFT.

Unit cell a=4.9024 b=4.9024 c=4.9024 alpha=60.00 beta=60.00 gamma=60.00
Atoms (fractional coordinates):
K1 0.0000 0.0000 0.0000
Tl1 0.5000 0.5000 0.5000
Tc1 0.2500 0.2500 0.2500
Tc2 0.7500 0.7500 0.7500

The total moment is 4.5 μB/cell. For the formation energy, the calculation gives 1.55 eV per atom.

# 4
Computed, not measured: crystalline Dy2SBr at its relaxed geometry at the PBE-GGA level of DFT.

Unit cell a=7.9675 b=7.9675 c=7.9675 alpha=27.38 beta=27.38 gamma=27.38
Atoms (fractional coordinates):
Dy1 0.0000 0.0000 0.0000
Dy2 0.1973 0.1973 0.1973
S1 0.5980 0.5980 0.5980
Br1 0.4297 0.4297 0.4297

The total moment is 0.0 μB/cell. As for the formation energy without anion corrections: -1.466 eV/atom.

# 5
Computed, not measured: crystalline Tb7Sm2Mg2 at its relaxed geometry at the PBE-GGA level of DFT.

Unit cell a=8.0854 b=8.0854 c=5.7361 alpha=105.30 beta=105.30 gamma=88.17
Atoms (fractional coordinates):
Tb1 0.0000 0.0000 0.0000
Tb2 0.0166 0.6008 0.8149
Tb3 0.2283 0.2283 0.6589
Tb4 0.3992 0.9834 0.1851
Tb5 0.6008 0.0166 0.8149
Tb6 0.7717 0.7717 0.3411
Tb7 0.9834 0.3992 0.1851
Sm1 0.2225 0.7775 0.5000
Sm2 0.7775 0.2225 0.5000
Mg1 0.4337 0.4337 0.2172
Mg2 0.5663 0.5663 0.7828

The total moment is 0.0 μB/cell. For the formation energy, the calculation gives 0.16 eV per atom.

# 6
Computed, not measured: crystalline CaTi2ZnO6 at its relaxed geometry at the PBE-GGA level of DFT.

Unit cell a=7.1482 b=7.1482 c=6.1544 alpha=105.96 beta=105.96 gamma=97.13
Atoms (fractional coordinates):
Ca1 0.1012 0.8988 0.7500
Ca2 0.8988 0.1012 0.2500
Ti1 0.2674 0.4300 0.8146
Ti2 0.4300 0.2674 0.3146
Ti3 0.5700 0.7326 0.6854
Ti4 0.7326 0.5700 0.1854
Zn1 0.2007 0.7993 0.2500
Zn2 0.7993 0.2007 0.7500
O1 0.0596 0.2106 0.6760
O2 0.1598 0.6376 0.9225
O3 0.2106 0.0596 0.1760
O4 0.3364 0.4298 0.5399
O5 0.3624 0.8402 0.5775
O6 0.4298 0.3364 0.0399
O7 0.5702 0.6636 0.9601
O8 0.6376 0.1598 0.4225
O9 0.6636 0.5702 0.4601
O10 0.7894 0.9404 0.8240
O11 0.8402 0.3624 0.0775
O12 0.9404 0.7894 0.3240

The total moment is 0.0 μB/cell. As for the formation energy without anion corrections: -2.750 eV/atom.

# 7
Computed, not measured: crystalline Er2Cd4Pb3 at its relaxed geometry at the PBE-GGA level of DFT.

Unit cell a=6.0050 b=6.0050 c=9.9628 alpha=110.39 beta=110.39 gamma=44.86
Atoms (fractional coordinates):
Er1 0.1557 0.1557 0.2166
Er2 0.8443 0.8443 0.7834
Cd1 0.1746 0.1746 0.8936
Cd2 0.4848 0.4848 0.3231
Cd3 0.5152 0.5152 0.6769
Cd4 0.8254 0.8254 0.1064
Pb1 0.1652 0.1652 0.5587
Pb2 0.5000 0.5000 0.0000
Pb3 0.8348 0.8348 0.4413

The total moment is 0.0 μB/cell. For the formation energy, the calculation gives -0.18 eV per atom.

# 8
Computed, not measured: crystalline La2YIn3 at its relaxed geometry at the PBE-GGA level of DFT.

Unit cell a=14.9992 b=14.9992 c=6.6260 alpha=90.00 beta=90.00 gamma=165.30
Atoms (fractional coordinates):
La1 0.0061 0.9939 0.7500
La2 0.1565 0.8435 0.2500
La3 0.8435 0.1565 0.7500
La4 0.9939 0.0061 0.2500
Y1 0.3322 0.6678 0.2500
Y2 0.6678 0.3322 0.7500
In1 0.2516 0.7484 0.7500
In2 0.4215 0.5785 0.5136
In3 0.4215 0.5785 0.9864
In4 0.5785 0.4215 0.0136
In5 0.5785 0.4215 0.4864
In6 0.7484 0.2516 0.2500

The total moment is 0.0 μB/cell. For the formation energy, the calculation gives -0.32 eV per atom.